PBE Ca2LaOs, relaxed; ρ = 5.1 g/cm³; energy relative to the lowest polymorph listed for this composition = 0.05 eV per formula unit; space-group type = Cm; V = 133.0 Å³/f.u.; ΔE_f = 127 meV per atom
1.0
5.6243 -1.9439 0.0000
5.6243 1.9439 0.0000
-3.0324 0.0000 6.0806
Ca La Os
2 1 1
direct
0.0000 0.0000 0.0000
0.1861 0.1861 0.7023
0.8295 0.8295 0.3729
0.4604 0.4604 0.6566